Model i:
This record from Alexandria via LeMat-Bulk describes a geometry-optimized TaOsI2O structure. The functional is PBE.

Values from the calculation:
Its density of states at the Fermi level is 7.1 states/eV/f.u. The space group is P4/mmm (123). The calculation puts the calculated volume at 22.71 Å³/atom.

a b c (Å): 5.478 5.478 3.784
angles (deg): 90.00 90.00 90.00
Element x y z (fractional)
Ta  0.000  0.000  0.000
I  0.500  0.000  0.000
I  0.000  0.500  0.000
O  0.000  0.000  0.500
Os  0.500  0.500  0.500

Model ii:
This record from Alexandria via LeMat-Bulk describes a geometry-optimized TaOsI2O structure. The functional is PBE.

Values from the calculation:
Its density of states at the Fermi level is 5.5 states/eV/f.u. The space group is P4/mmm (123). The calculation puts the calculated volume at 22.68 Å³/atom.

a b c (Å): 5.549 5.549 3.683
angles (deg): 90.00 90.00 90.00
Site moments in Bohr magnetons follow the coordinates.
Element x y z (fractional)
O  0.000  0.000  0.500  -0.01
I  0.500  0.000  0.000  -0.05
I  0.000  0.500  0.000  -0.05
Ta  0.500  0.500  0.500  1.74
Os  0.000  0.000  0.000  -0.22

Computed stability ranking, most favorable first: model i, model ii

Model i:
This record from Alexandria via LeMat-Bulk describes a geometry-optimized TaOsIO2 structure. The functional is PBE.

Values from the calculation:
Its density of states at the Fermi level is 3.8 states/eV/f.u. The space group is P4/mmm (123). The calculation puts the calculated volume at 18.83 Å³/atom.

a b c (Å): 3.879 3.879 6.258
angles (deg): 90.00 90.00 90.00
Site moments in Bohr magnetons follow the coordinates.
Element x y z (fractional)
O  0.500  0.000  0.000  0.02
O  0.000  0.500  0.000  0.02
I  0.000  0.000  0.500  0.01
Os  0.500  0.500  0.500  1.25
Ta  0.000  0.000  0.000  -0.08

Model ii:
This record from Alexandria via LeMat-Bulk describes a geometry-optimized TaOsIO2 structure. The functional is PBE.

Values from the calculation:
Its density of states at the Fermi level is 4.0 states/eV/f.u. The space group is P4/mmm (123). The calculation puts the calculated volume at 23.29 Å³/atom.

a b c (Å): 3.804 3.804 8.047
angles (deg): 90.00 90.00 90.00
Site moments in Bohr magnetons follow the coordinates.
Element x y z (fractional)
Ta  0.500  0.500  0.500  1.57
O  0.000  0.500  0.000  0.01
O  0.500  0.000  0.000  0.01
Os  0.000  0.000  0.000  0.04
I  0.000  0.000  0.500  0.01

Computed stability ranking, most favorable first: model i, model ii

Model i:
This record from Alexandria via LeMat-Bulk describes a geometry-optimized TcOsI2O structure. The functional is PBE.

Values from the calculation:
Its density of states at the Fermi level is 5.0 states/eV/f.u. The space group is P4/mmm (123). The calculation puts the calculated volume at 23.57 Å³/atom.

a b c (Å): 5.627 5.627 3.721
angles (deg): 90.00 90.00 90.00
Site moments in Bohr magnetons follow the coordinates.
Element x y z (fractional)
I  0.000  0.500  0.000  0.05
I  0.500  0.000  0.000  0.05
Tc  0.500  0.500  0.500  3.48
O  0.000  0.000  0.500  -0.05
Os  0.000  0.000  0.000  -0.31

Model ii:
This record from Alexandria via LeMat-Bulk describes a geometry-optimized TcOsI2O structure. The functional is PBE.

Values from the calculation:
Its density of states at the Fermi level is 4.3 states/eV/f.u. The space group is P4/mmm (123). The calculation puts the calculated volume at 21.03 Å³/atom.

a b c (Å): 5.375 5.375 3.639
angles (deg): 90.00 90.00 90.00
Element x y z (fractional)
I  0.000  0.500  0.000
I  0.500  0.000  0.000
O  0.000  0.000  0.500
Tc  0.000  0.000  0.000
Os  0.500  0.500  0.500

Computed stability ranking, most favorable first: model i, model ii